No. 1
Computed, not measured: a relaxed structure of Rb3Pu3TlSe8 at the PBE-GGA level of DFT.

Cell and atoms, written as extended XYZ:
```
15
Lattice="8.5430 0.0000 0.0000 -4.2715 7.3944 -0.0270 0.0000 -4.9018 7.9893" Properties=species:S:1:pos:R:3 pbc="T T T"
Rb 2.1358 3.6972 -0.0135
Rb -2.1358 3.6972 -0.0135
Rb 0.0000 0.0000 0.0000
Se 4.2715 2.3162 2.4320
Se 1.9988 3.6372 5.5184
Se 6.2703 -1.1445 2.4439
Se 4.2715 0.0200 5.5302
Se -1.9988 3.6372 5.5184
Se 2.2727 -1.1445 2.4439
Se 0.0000 2.4727 2.4320
Se 0.0000 0.1765 5.5303
Pu 4.2715 -2.4509 3.9947
Pu 2.1358 1.2463 3.9811
Pu -2.1358 1.2463 3.9811
Tl 0.0000 -2.4509 3.9947
```

Summary:
- space-group type = R-3m
- formation energy without anion corrections (eV per atom) = -1.193



No. 2
Computed, not measured: a relaxed structure of AcThAg at the PBE-GGA level of DFT.

Cell and atoms, written as extended XYZ:
```
3
Lattice="3.7865 0.0000 0.0000 0.0000 5.3539 0.0000 0.0000 -2.6770 4.6366" Properties=species:S:1:pos:R:3 pbc="T T T"
Th 0.3241 0.0000 0.0000
Ag 0.9812 0.0000 3.0911
Ac 2.4812 2.6770 1.5455
```

Summary:
- space-group type = P3m1
- E above lowest polymorph (eV per atom) = 0.243
- formation enthalpy at 0 K (kJ/mol of formula units) = 48



No. 3
Computed, not measured: a relaxed structure of TlGaSn2Se6 at the PBE-GGA level of DFT.

Cell and atoms, written as extended XYZ:
```
20
Lattice="7.5408 0.1616 0.1677 2.6090 9.8949 -0.4903 2.6090 -0.8567 9.8700" Properties=species:S:1:pos:R:3 pbc="T T T"
Se 3.6745 6.4545 5.3251
Se 6.5262 1.5597 6.3675
Se 9.0843 2.7453 4.2223
Se 10.0031 2.9754 7.8366
Se 7.4449 5.1631 6.7313
Se 6.4521 0.1247 2.0765
Se 2.6817 1.9897 0.1177
Se 5.3139 4.0368 2.8161
Se 6.3067 9.0752 7.4709
Se 6.2327 7.6402 3.1799
Se 10.0771 7.2102 9.4297
Se 2.7557 6.2245 1.7108
Ga 8.2646 7.6553 1.9104
Ga 4.4942 1.5446 7.6370
Sn 6.5765 2.0345 3.8131
Sn 6.1823 7.1654 5.7343
Sn 9.9527 5.5456 7.4568
Sn 2.8061 3.6543 2.0906
Tl 4.4942 8.8629 0.5850
Tl 8.2646 0.3369 8.9624
```

Summary:
- space-group type = C2/c
- formation energy without anion corrections (eV per atom) = -0.313



No. 4
Computed, not measured: a relaxed structure of Y2HoEr2Sc2 at the PBE-GGA level of DFT.

Cell and atoms, written as extended XYZ:
```
7
Lattice="-1.8205 -2.8812 -0.1455 4.3245 -0.5145 -3.9329 8.6911 -5.7397 4.9166" Properties=species:S:1:pos:R:3 pbc="T T T"
Sc 7.0567 -4.5242 1.2947
Sc 4.1384 -4.6112 -0.4565
Er 1.4495 -2.9702 0.6915
Er 9.7456 -6.1652 0.1467
Y 8.1794 -7.3418 3.0534
Y 3.0156 -1.7936 -2.2151
Ho 4.3455 -2.8699 2.4583
```

Summary:
- space-group type = C2/m
- formation enthalpy at 0 K (kJ/mol of formula units) = 73



No. 5
Computed, not measured: a relaxed structure of Mg2CoW3S8 at the PBE-GGA level of DFT.

Cell and atoms, written as extended XYZ:
```
14
Lattice="-4.2956 -5.1514 3.0088 2.1926 -4.5360 5.3535 -2.5213 0.2975 6.8990" Properties=species:S:1:pos:R:3 pbc="T T T"
S -3.1242 -4.8496 5.6375
S -2.2865 -7.1432 8.2022
S -3.3696 -6.8421 11.1205
S -4.4623 -4.9122 8.9156
S -1.4675 -4.6281 9.9978
S -2.3818 -2.5695 7.2654
S -0.4092 -4.5920 6.6186
S -1.1061 -2.2460 3.6504
Mg -0.4756 -0.9657 1.5696
Mg -3.9836 -8.0888 13.1467
W -1.1360 -4.5161 4.3290
W -3.0586 -2.5447 4.9593
W -0.4124 -2.2937 5.9156
Co -2.3830 -4.8388 7.8645
```

Summary:
- space-group type = R3m
- formation energy without anion corrections (eV per atom) = -0.665



No. 6
Computed, not measured: a relaxed structure of CdIn2As at the PBE-GGA level of DFT.

Cell and atoms, written as extended XYZ:
```
4
Lattice="-3.2472 4.0496 -2.5519 -4.7243 1.1719 3.1246 5.7590 0.0061 0.5378" Properties=species:S:1:pos:R:3 pbc="T T T"
In -0.5627 3.2191 -0.8764
In -0.0141 0.0093 0.0010
As -3.9651 2.5972 0.2849
Cd -1.6563 2.0127 1.9873
```

Summary:
- space-group type = Imm2
- E above lowest polymorph (eV per atom) = 0.091
- formation enthalpy at 0 K (kJ/mol of formula units) = 37



No. 7
Computed, not measured: a relaxed structure of MgZn3 at the PBE-GGA level of DFT.

Cell and atoms, written as extended XYZ:
```
4
Lattice="-1.7192 -2.4578 0.1928 2.7902 -1.8039 1.8853 -2.1588 1.9036 5.0163" Properties=species:S:1:pos:R:3 pbc="T T T"
Zn -1.1113 0.9799 2.5823
Zn -1.0836 -0.7031 4.8013
Zn -2.1269 1.8754 4.9421
Mg -0.0042 -1.6549 2.2931
```

Summary:
- space-group type = Pmmm
- formation enthalpy at 0 K (kJ/mol of formula units) = -7



No. 8
Computed, not measured: a relaxed structure of CoHgC2 at the PBE-GGA level of DFT.

Cell and atoms, written as extended XYZ:
```
8
Lattice="4.9312 0.0000 0.0000 0.0000 4.9312 0.0000 2.4656 2.4656 4.4093" Properties=species:S:1:pos:R:3 pbc="T T T"
Hg 4.9312 2.4656 2.2047
Hg 0.0000 0.0000 0.0000
Co 2.4656 2.4656 0.0000
Co 2.4656 4.9312 2.2047
C 3.6984 4.1919 3.3070
C 3.2049 1.2328 1.1023
C 1.7263 3.6984 1.1023
C 6.1640 5.6705 3.3070
```

Summary:
- space-group type = I-42d
- formation enthalpy at 0 K (kJ/mol of formula units) = 515



No. 9
Computed, not measured: a relaxed structure of TcPt2SI at the PBE-GGA level of DFT.

Cell and atoms, written as extended XYZ:
```
5
Lattice="-2.2727 -1.9296 -3.9686 -3.2276 -2.5566 3.0915 -3.1291 3.8523 -0.0811" Properties=species:S:1:pos:R:3 pbc="T T T"
Pt -1.5645 1.9262 -0.0406
Pt -1.1364 -0.9648 -1.9843
Tc -4.3147 -0.3169 -0.4791
S -1.6138 -1.2783 1.5457
I 0.0000 0.0000 0.0000
```

Summary:
- space-group type = P4/mmm
- formation energy without anion corrections (eV per atom) = 1.658



No. 10
Computed, not measured: a relaxed structure of SrLa2Pt at the PBE-GGA level of DFT.

Cell and atoms, written as extended XYZ:
```
4
Lattice="3.9951 0.0000 0.0000 0.0000 4.3811 -0.0088 0.0000 2.2069 8.4466" Properties=species:S:1:pos:R:3 pbc="T T T"
Sr 1.9975 4.1204 6.0295
La 1.9975 1.9214 2.9196
La 0.0000 4.1082 0.3929
Pt 0.0000 4.1131 3.3058
```

Summary:
- space-group type = Amm2
- E above lowest polymorph (eV per atom) = 0.085
- formation enthalpy at 0 K (kJ/mol of formula units) = -188



No. 11
Computed, not measured: a relaxed structure of Al3Ag2Au8 at the PBE-GGA level of DFT.

Cell and atoms, written as extended XYZ:
```
13
Lattice="-1.2028 3.7102 1.7491 -7.6146 -1.8248 -1.3655 3.4114 -2.3377 7.3049" Properties=species:S:1:pos:R:3 pbc="T T T"
Au -0.0907 -0.7126 1.4492
Au -2.6925 -1.1153 5.7378
Au -6.2731 -0.1800 1.2912
Au -5.3153 0.2603 6.2393
Au -0.2849 -2.3897 4.8735
Au 0.8670 -0.2723 6.3973
Au -5.1211 1.9374 2.8150
Au -2.7135 0.6630 1.9507
Al -0.6014 1.8551 0.8746
Al -3.2545 0.0654 8.0699
Al -2.1515 -0.5177 -0.3814
Ag -0.7832 0.2897 4.0704
Ag -4.6229 -0.7420 3.6181
```

Summary:
- space-group type = P2/m
- E above lowest polymorph (eV per atom) = 0.000
- formation enthalpy at 0 K (kJ/mol of formula units) = -195



No. 12
Computed, not measured: a relaxed structure of Si2HgW at the PBE-GGA level of DFT.

Cell and atoms, written as extended XYZ:
```
4
Lattice="2.7847 -0.0408 0.0000 -0.7264 2.6886 0.0000 0.0000 0.0000 10.4542" Properties=species:S:1:pos:R:3 pbc="T T T"
W 1.0292 1.3239 2.6135
Si 0.0000 0.0000 0.6254
Si 0.0000 0.0000 4.6017
Hg 1.0292 1.3239 7.8406
```

Summary:
- space-group type = Cmmm
- formation energy without anion corrections (eV per atom) = 0.366